An optimized crystal structure of Re2TeCl, computed with PBE.

a b c (Å): 4.6360 4.6360 4.6360
angles (deg): 60.00 60.00 60.00
Sites, in units of the cell vectors:
Re: 0.0000 0.0000 0.0000
Re: 0.2500 0.2500 0.2500
Te: 0.7500 0.7500 0.7500
Cl: 0.5000 0.5000 0.5000

**Density of states at the Fermi level**: 4.8 states/eV/cell
**Formation energy without anion corrections**: 1.192 eV per atom
**Space-group type**: F-43m (216)
**Calculated total energy**: -25.116 eV per formula unit
**ΔE to the lowest computed polymorph**: 1124 meV/atom

***

An optimized crystal structure of ReTeCl, computed with PBE.

a b c (Å): 7.6693 7.6693 7.6693
angles (deg): 154.65 154.66 36.15
Sites, in units of the cell vectors:
Te: 0.2216 0.2216 0.0000
Re: 0.8116 0.8116 0.0000
Cl: 0.9668 0.9668 0.0000

**Density of states at the Fermi level**: 3.5 states/eV/cell
**Formation energy without anion corrections**: 0.330 eV per atom
**Space-group type**: I4mm (107)
**Calculated total energy**: -16.447 eV per formula unit
**ΔE to the lowest computed polymorph**: 393 meV/atom

***

An optimized crystal structure of Re2TeCl, computed with PBE.

a b c (Å): 4.4954 4.4954 4.4954
angles (deg): 111.48 111.48 105.52
Sites, in units of the cell vectors:
Re: 0.0000 0.0000 0.0000
Re: 0.2500 0.7500 0.5000
Te: 0.5000 0.5000 0.0000
Cl: 0.7500 0.2500 0.5000

**Density of states at the Fermi level**: 3.0 states/eV/cell
**Formation energy without anion corrections**: 1.110 eV per atom
**Space-group type**: I-4m2 (119)
**Calculated total energy**: -25.445 eV per formula unit
**ΔE to the lowest computed polymorph**: 1042 meV/atom

***

Question: Among the records above, which one has the lowest ΔE to the lowest computed polymorph?
Answer: ReTeCl